Entry 1:
CaHgB2Te after structural relaxation. Source: Alexandria, functional PBE-GGA.

Calculated values
The calculation puts the volume at 28.212 A^3/atom. The value obtained for the calculated total energy is -2.8225 eV per atom.

a b c (Å): 4.2788 7.7046 4.2788
angles (deg): 90.00 90.00 90.00
With the nearest neighbours (Å) after each atom.
Fractional positions:
1 B 0.0000 0.0000 0.5000  2 Hg 2.14
2 B 0.5000 0.0000 0.0000  2 Hg 2.14
3 Hg 0.0000 0.0000 0.0000  4 B 2.14
4 Te 0.0000 0.5000 0.0000  4 Ca 3.03
5 Ca 0.5000 0.5000 0.5000  4 Te 3.03

Entry 2:
CaZrHg2B after structural relaxation. Source: Alexandria, functional PBE-GGA.

Calculated values
The formation energy comes out at 0.590 eV/atom. The calculation puts the volume at 21.293 A^3/atom. The value obtained for the calculated total energy is -2.9764 eV per atom.

a b c (Å): 4.6282 4.9703 4.6282
angles (deg): 90.00 90.00 90.00
With the nearest neighbours (Å) after each atom.
Fractional positions:
1 Zr 0.5000 0.5000 0.5000  4 Ca 3.27, 8 Hg 3.40
2 Ca 0.0000 0.5000 0.0000  2 B 2.49
3 Hg 0.0000 0.0000 0.5000  2 B 2.31
4 Hg 0.5000 0.0000 0.0000  2 B 2.31
5 B 0.0000 0.0000 0.0000  4 Hg 2.31, 2 Ca 2.49

Entry 3:
Ca2HoB2Rh5 after structural relaxation. Source: Alexandria, functional PBE-GGA.

Calculated values
The formation energy comes out at -0.589 eV/atom. The calculation puts the volume at 15.662 A^3/atom. The value obtained for the calculated total energy is -6.4578 eV per atom.

a b c (Å): 3.0897 10.0688 10.0688
angles (deg): 90.00 90.00 90.00
With the nearest neighbours (Å) after each atom.
Fractional positions:
1 Rh 0.5000 0.5000 0.0000  4 B 2.30
2 Rh 0.5000 0.2672 0.5697  2 B 2.20
3 Rh 0.5000 0.0697 0.7672  2 B 2.20
4 Rh 0.5000 0.5697 0.7328  2 B 2.20
5 Rh 0.5000 0.2328 0.0697  2 B 2.20
6 Rh 0.5000 0.7328 0.4303  2 B 2.20
7 Rh 0.5000 0.0000 0.5000  4 B 2.30
8 Rh 0.5000 0.4303 0.2672  2 B 2.20
9 Rh 0.5000 0.9303 0.2328  2 B 2.20
10 Rh 0.5000 0.7672 0.9303  2 B 2.20
11 B 0.0000 0.8805 0.3805  6 Rh 2.20-2.30
12 B 0.0000 0.3805 0.1195  6 Rh 2.20-2.30
13 B 0.0000 0.1195 0.6195  6 Rh 2.20-2.30
14 B 0.0000 0.6195 0.8805  6 Rh 2.20-2.30
15 Ho 0.0000 0.0000 0.0000  8 Rh 2.89, 2 Ho 3.09
16 Ho 0.0000 0.5000 0.5000  8 Rh 2.89, 2 Ho 3.09
17 Ca 0.0000 0.8223 0.6777  3 B 2.89-3.05, 10 Rh 2.96-3.07, 2 Ca 3.09
18 Ca 0.0000 0.1777 0.3223  3 B 2.89-3.05, 10 Rh 2.96-3.07, 2 Ca 3.09
19 Ca 0.0000 0.3223 0.8223  3 B 2.89-3.05, 10 Rh 2.96-3.07, 2 Ca 3.09
20 Ca 0.0000 0.6777 0.1777  3 B 2.89-3.05, 10 Rh 2.96-3.07, 2 Ca 3.09

Entry 4:
CaBI3 after structural relaxation. Source: Alexandria, functional PBE-GGA.

Calculated values
The calculation puts the volume at 29.550 A^3/atom. The value obtained for the calculated total energy is -2.6932 eV per atom.

a b c (Å): 5.2866 5.2866 5.2866
angles (deg): 90.00 90.00 90.00
With the nearest neighbours (Å) after each atom.
Fractional positions:
1 I 0.0000 0.5000 0.0000  2 B 2.64
2 I 0.0000 0.0000 0.5000  2 B 2.64
3 I 0.5000 0.0000 0.0000  2 B 2.64
4 Ca 0.5000 0.5000 0.5000  12 I 3.74
5 B 0.0000 0.0000 0.0000  6 I 2.64

Entry 5:
Ca3BI after structural relaxation. Source: Alexandria, functional PBE-GGA.

Calculated values
The calculation puts the volume at 30.698 A^3/atom. The value obtained for the calculated total energy is -3.0652 eV per atom.

a b c (Å): 5.3542 5.3542 5.3542
angles (deg): 90.00 90.00 90.00
With the nearest neighbours (Å) after each atom.
Fractional positions:
1 B 0.0000 0.0000 0.0000  6 Ca 2.68
2 Ca 0.5000 0.0000 0.0000  2 B 2.68
3 Ca 0.0000 0.0000 0.5000  2 B 2.68
4 Ca 0.0000 0.5000 0.0000  2 B 2.68
5 I 0.5000 0.5000 0.5000  12 Ca 3.79

Entry 6:
CaB2I after structural relaxation. Source: Alexandria, functional PBE-GGA.

Calculated values
The calculation puts the volume at 18.894 A^3/atom. The value obtained for the calculated total energy is -2.7509 eV per atom.

a b c (Å): 4.7457 4.7457 4.7457
angles (deg): 60.00 60.00 60.00
With the nearest neighbours (Å) after each atom.
Fractional positions:
1 Ca 0.0000 0.0000 0.0000  8 B 2.91
2 B 0.7500 0.7500 0.7500  4 Ca 2.91, 4 I 2.91
3 B 0.2500 0.2500 0.2500  4 Ca 2.91, 4 I 2.91
4 I 0.5000 0.5000 0.5000  8 B 2.91

Entry 7:
CaB2I after structural relaxation. Source: Alexandria, functional PBE-GGA.

Calculated values
The calculation puts the volume at 20.026 A^3/atom. The value obtained for the calculated total energy is -2.9542 eV per atom.

a b c (Å): 6.6427 6.6427 5.9368
angles (deg): 55.98 55.98 90.00
With the nearest neighbours (Å) after each atom.
Fractional positions:
1 Ca 0.5000 0.5000 0.0000  4 B 2.73
2 Ca 0.2500 0.7500 0.5000  4 B 2.73
3 B 0.3750 0.3288 0.7500  2 I 2.33
4 B 0.0788 0.6250 0.2500  2 I 2.33
5 B 0.8750 0.9212 0.7500  2 I 2.33
6 B 0.6712 0.1250 0.2500  2 I 2.33
7 I 0.0000 0.0000 0.0000  4 B 2.33
8 I 0.7500 0.2500 0.5000  4 B 2.33

Entry 8:
CaB2I8 after structural relaxation. Source: Alexandria, functional PBE-GGA.

Calculated values
The calculation puts the volume at 47.122 A^3/atom. The value obtained for the calculated total energy is -2.9461 eV per atom.

a b c (Å): 6.7609 8.8760 8.8760
angles (deg): 80.63 82.78 82.78
With the nearest neighbours (Å) after each atom.
Fractional positions:
1 I 0.8193 0.6395 0.6395  1 B 2.22
2 I 0.2457 0.2832 0.9590  1 B 2.29
3 I 0.2457 0.9590 0.2832  1 B 2.29
4 I 0.7543 0.0410 0.7168  1 B 2.29
5 I 0.3314 0.7978 0.7978  1 B 2.28
6 I 0.7543 0.7168 0.0410  1 B 2.29
7 I 0.1807 0.3605 0.3605  1 B 2.22
8 I 0.6686 0.2022 0.2022  1 B 2.28
9 B 0.3320 0.2022 0.2022  4 I 2.22-2.29
10 B 0.6680 0.7978 0.7978  4 I 2.22-2.29
11 Ca 0.0000 0.0000 0.0000  6 I 3.13-3.24

Entry 9:
CaBI3 after structural relaxation. Source: Alexandria, functional PBE-GGA.

Calculated values
The calculation puts the volume at 45.067 A^3/atom. The value obtained for the calculated total energy is -2.4493 eV per atom.

a b c (Å): 6.0852 6.0852 6.0852
angles (deg): 90.00 90.00 90.00
With the nearest neighbours (Å) after each atom.
Fractional positions:
1 Ca 0.0000 0.0000 0.0000  6 I 3.04
2 I 0.0000 0.5000 0.0000  2 Ca 3.04
3 I 0.5000 0.0000 0.0000  2 Ca 3.04
4 I 0.0000 0.0000 0.5000  2 Ca 3.04
5 B 0.5000 0.5000 0.5000  12 I 4.30

Entry 10:
Ca2BMoI after structural relaxation. Source: Alexandria, functional PBE-GGA.

Calculated values
The calculation puts the volume at 28.020 A^3/atom. The value obtained for the calculated total energy is -4.2100 eV per atom.

a b c (Å): 5.8302 4.1217 5.8302
angles (deg): 90.00 90.00 90.00
With the nearest neighbours (Å) after each atom.
Fractional positions:
1 Ca 0.0000 0.0000 0.5000  2 Mo 2.92
2 Ca 0.5000 0.0000 0.0000  2 Mo 2.92
3 B 0.0000 0.5000 0.0000  2 Mo 2.06
4 Mo 0.0000 0.0000 0.0000  2 B 2.06
5 I 0.5000 0.5000 0.5000  8 Ca 3.57

Entry 11:
CaBI2N after structural relaxation. Source: Alexandria, functional PBE-GGA.

Calculated values
The calculation puts the volume at 25.213 A^3/atom. The value obtained for the calculated total energy is -4.0521 eV per atom.

a b c (Å): 6.5802 6.5802 2.9114
angles (deg): 90.00 90.00 90.00
With the nearest neighbours (Å) after each atom.
Fractional positions:
1 B 0.0000 0.0000 0.0000  2 N 1.46
2 Ca 0.5000 0.5000 0.5000  2 Ca 2.91
3 N 0.0000 0.0000 0.5000  2 B 1.46
4 I 0.0000 0.5000 0.0000  2 I 2.91
5 I 0.5000 0.0000 0.0000  2 I 2.91

Entry 12:
CaBI2N after structural relaxation. Source: Alexandria, functional PBE-GGA.

Calculated values
The calculation puts the volume at 35.149 A^3/atom. The value obtained for the calculated total energy is -2.9906 eV per atom.

a b c (Å): 6.1459 6.1459 4.6528
angles (deg): 90.00 90.00 90.00
With the nearest neighbours (Å) after each atom.
Fractional positions:
1 I 0.5000 0.0000 0.0000  2 Ca 3.07
2 I 0.0000 0.5000 0.0000  2 Ca 3.07
3 N 0.0000 0.0000 0.5000  2 Ca 2.33
4 Ca 0.0000 0.0000 0.0000  2 N 2.33
5 B 0.5000 0.5000 0.5000  8 I 3.85

Entry 13:
CaBI2O after structural relaxation. Source: Alexandria, functional PBE-GGA.

Calculated values
The calculation puts the volume at 21.908 A^3/atom. The value obtained for the calculated total energy is -3.6457 eV per atom.

a b c (Å): 5.6695 5.6695 3.4080
angles (deg): 90.00 90.00 90.00
With the nearest neighbours (Å) after each atom.
Fractional positions:
1 B 0.0000 0.0000 0.0000  2 O 1.70
2 I 0.5000 0.0000 0.0000  2 B 2.83
3 I 0.0000 0.5000 0.0000  2 B 2.83
4 O 0.0000 0.0000 0.5000  2 B 1.70
5 Ca 0.5000 0.5000 0.5000  8 I 3.31, 2 Ca 3.41